Record 1
DFT (PBEsol) results for a relaxed structure of CaSbW2.

Cell and atoms, written as extended XYZ:
```
4
Lattice="-1.114 2.301 2.101 -2.939 -3.557 2.337 4.842 -1.457 1.558" Properties=species:S:1:pos:R:3 pbc="T T T"
Sb -1.470 -1.778 1.168
Ca -0.557 1.151 1.051
W 1.276 -1.327 2.131
W -0.488 -1.385 3.865
```

Summary:
Formation energy from raw total energies = 2.34 eV/f.u.

Record 2
DFT (PBEsol) results for a relaxed structure of TeOsRh.

Cell and atoms, written as extended XYZ:
```
3
Lattice="3.006 0.000 0.000 0.000 3.006 0.000 -1.503 -1.503 5.509" Properties=species:S:1:pos:R:3 pbc="T T T"
Os 0.000 0.000 0.055
Rh 1.503 1.503 1.702
Te 0.000 0.000 3.752
```

Summary:
Formation energy from raw total energies = 1.77 eV/f.u.
ΔE to the lowest computed polymorph = 0.0000 eV/atom

Record 3
DFT (PBEsol) results for a relaxed structure of Bi2Pt2Br.

Cell and atoms, written as extended XYZ:
```
5
Lattice="3.904 0.000 0.000 0.000 3.904 0.000 -1.952 -1.952 8.035" Properties=species:S:1:pos:R:3 pbc="T T T"
Pt 0.000 1.952 4.017
Pt 1.952 0.000 4.017
Bi 0.000 0.000 5.975
Bi 1.952 1.952 2.060
Br 0.000 0.000 0.000
```

Summary:
Formation energy from raw total energies = -1.65 eV/f.u.

Record 4
DFT (PBEsol) results for a relaxed structure of NaLaCl3.

Cell and atoms, written as extended XYZ:
```
5
Lattice="-2.189 -2.792 -4.239 4.041 -3.752 0.384 -3.072 -2.947 3.527" Properties=species:S:1:pos:R:3 pbc="T T T"
Na -0.610 -4.746 -0.164
Cl 2.021 -1.876 0.192
Cl -1.536 -1.474 1.764
Cl -1.095 -1.396 -2.120
La 0.000 0.000 0.000
```

Summary:
Formation energy from raw total energies = -8.53 eV/f.u.